Record 1
## VTe2BrN (PBE)

Data for an optimized crystal structure of VTe2BrN.

Results
Electronic total energy, eV per atom: -4.92
Excess energy over the best structure of this formula in the dataset, kJ per mole of atoms: 0.00
ΔE_f (raw), kJ/mol of atoms: 16
Total magnetization, μB/f.u.: 0.00

Cell: 5.476 5.476 3.641 Å, 90.00 90.00 90.00°
Atoms (fractional coordinates):
V 0.000 0.000 0.000
Te 0.500 0.000 0.000
Te 0.000 0.500 0.000
N 0.000 0.000 0.500
Br 0.500 0.500 0.500


Record 2
## YVFe10 (PBE)

Data for an optimized crystal structure of YVFe10.

Results
Electronic total energy, eV per atom: -8.27
DFT formation energy, eV/atom: 0.09
Total magnetization, μB/f.u.: 16.53

Cell: 4.011 4.811 8.284 Å, 90.00 90.00 90.00°
Atoms (fractional coordinates):
Y 0.000 0.000 0.000
Fe 0.000 0.000 0.347
Fe 0.000 0.000 0.653
V 0.000 0.500 0.500
Fe 0.500 0.748 0.260
Fe 0.500 0.500 0.000
Fe 0.500 0.000 0.500
Fe 0.500 0.252 0.740
Fe 0.500 0.252 0.260
Fe 0.000 0.500 0.809
Fe 0.000 0.500 0.191
Fe 0.500 0.748 0.740


Record 3
## LaHf2Pd (PBE)

Data for an optimized crystal structure of LaHf2Pd.

Results
Electronic total energy, eV per atom: -7.37
DFT formation energy, eV/atom: 0.13
Excess energy over the best structure of this formula in the dataset, kJ per mole of atoms: 10.61
Total magnetization, μB/f.u.: 0.00

Cell: 4.164 4.164 11.478 Å, 79.55 79.55 90.00°
Atoms (fractional coordinates):
Pd 0.500 0.500 0.000
Hf 0.375 0.387 0.750
Hf 0.613 0.125 0.250
Hf 0.875 0.863 0.750
La 0.000 0.000 0.000
Pd 0.250 0.750 0.500
La 0.750 0.250 0.500
Hf 0.137 0.625 0.250